The following is a DFT calculation (PBE-GGA) of a relaxed structure of Re2SeI2. Values from VASP.

Cell and atoms, written as Quantum ESPRESSO input:
```
&SYSTEM
  ibrav = 0, nat = 5, ntyp = 3
/
ATOMIC_SPECIES
Re 186.21 Re.upf
Se 78.96 Se.upf
I 126.90 I.upf
ATOMIC_POSITIONS crystal
Re 0.250 0.750 0.500
Re 0.750 0.250 0.500
Se 0.000 0.000 0.000
I 0.377 0.377 0.000
I 0.623 0.623 0.000
CELL_PARAMETERS angstrom
-1.893 1.893 8.075
1.893 -1.893 8.075
1.893 1.893 -8.075
```

Results
The volume is 115.71 Å³ per cell. For the density of states at the Fermi level, the calculation gives 5.76 states/eV per cell. The total energy is -5.270 eV/atom.